No. 1
ZnInSe PBE-GGA optimized geometry; SG = R-3m; formation energy (no corrections) = -40.6 kJ/mol of formula units; ΔE to the lowest computed polymorph = 13.05 kJ per mole of atoms
1.0
3.987 0.000 0.000
1.994 3.453 0.000
1.994 1.151 11.154
Se Zn In
2 2 2
Direct
0.285 0.285 0.145
0.715 0.715 0.855
0.852 0.852 0.444
0.148 0.148 0.556
0.423 0.423 0.730
0.577 0.577 0.270

No. 2
PmYAg4 PBE-GGA optimized geometry; ΔH_f (0 K) = 0.011 eV/atom; SG = Pmmm; ΔE to the lowest computed polymorph = 28.80 kJ per mole of atoms
1.0
-3.406 -1.734 -1.031
1.713 -1.433 -3.251
2.584 -7.976 4.878
Ag Y Pm
4 1 1
Direct
0.001 0.497 0.253
0.001 0.497 0.743
0.501 0.997 0.254
0.501 0.997 0.743
0.001 0.997 0.498
0.501 0.497 0.998

No. 3
SmSc2Pa PBE-GGA optimized geometry; ΔH_f (0 K) = 0.246 eV/atom; SG = Fm-3m; ΔE to the lowest computed polymorph = 15.61 kJ per mole of atoms
1.0
5.329 0.000 0.000
2.665 4.615 0.000
2.665 1.538 4.351
Pa Sm Sc
1 1 2
Direct
0.000 0.000 0.000
0.500 0.500 0.500
0.750 0.750 0.750
0.250 0.250 0.250

No. 4
KCrSi3 PBE-GGA optimized geometry; SG = Pm-3m; formation energy (no corrections) = 1105.0 kJ/mol of formula units; ΔE to the lowest computed polymorph = 204.31 kJ per mole of atoms
1.0
-1.225 -5.061 -0.530
3.830 -1.276 3.331
-3.350 0.392 4.002
Si K Cr
3 1 1
Direct
0.500 0.000 0.000
0.000 0.500 0.000
0.000 0.000 0.500
0.000 0.000 0.000
0.500 0.500 0.500

No. 5
Pm3SmYSc PBE-GGA optimized geometry; ΔH_f (0 K) = 0.040 eV/atom; SG = P2_1/m
1.0
-4.146 2.276 1.818
-4.306 -3.109 -5.925
0.712 -5.836 8.929
Sm Pm Sc Y
2 6 2 2
Direct
0.750 0.369 0.871
0.250 0.631 0.129
0.750 0.877 0.045
0.250 0.617 0.789
0.750 0.364 0.541
0.750 0.383 0.211
0.250 0.123 0.955
0.250 0.636 0.459
0.250 0.117 0.619
0.750 0.883 0.381
0.250 0.123 0.298
0.750 0.877 0.702

No. 6
Sr2Mg3Al PBE-GGA optimized geometry; ΔH_f (0 K) = -0.121 eV/atom; SG = C2/m; ΔE to the lowest computed polymorph = 0.00 kJ per mole of atoms
1.0
-2.187 -3.591 -4.626
5.419 3.044 -0.670
2.179 -2.690 5.270
Mg Al Sr
3 1 2
Direct
0.500 0.500 0.500
0.000 0.000 0.500
0.500 0.000 0.500
0.000 0.000 0.000
0.744 0.372 0.117
0.256 0.628 0.883

No. 7
MnV6Fe2 PBE-GGA optimized geometry; ΔH_f (0 K) = 0.337 eV/atom; SG = Immm
1.0
-1.930 1.465 -3.217
-3.474 -4.296 0.128
-0.816 4.362 4.995
Fe V Mn
2 6 1
Direct
0.333 0.333 0.666
0.667 0.667 0.334
0.500 0.752 0.000
0.834 0.583 0.668
0.834 0.085 0.668
0.166 0.915 0.332
0.500 0.248 0.000
0.166 0.417 0.332
0.000 0.000 0.000

No. 8
ThCo2PN PBE-GGA optimized geometry; SG = Cmcm; formation energy (no corrections) = -469.3 kJ/mol of formula units
1.0
-0.961 0.000 -3.463
5.262 -2.376 0.404
-2.810 -6.090 0.780
Co N Th P
4 2 2 2
Direct
0.824 0.648 0.057
0.176 0.352 0.943
0.824 0.648 0.443
0.176 0.352 0.557
0.000 0.000 0.500
0.000 0.000 0.000
0.457 0.914 0.750
0.543 0.086 0.250
0.729 0.459 0.750
0.271 0.541 0.250

No. 9
La5Pr6Nd PBE-GGA optimized geometry; ΔH_f (0 K) = 0.009 eV/atom; SG = Immm
1.0
5.065 0.021 -1.478
-1.441 9.231 -4.807
0.116 -0.857 9.802
Pr Nd La
6 1 5
Direct
0.166 0.917 0.333
0.500 0.249 0.000
0.500 0.751 0.000
0.834 0.584 0.667
0.834 0.083 0.667
0.166 0.416 0.333
0.000 0.000 0.000
0.334 0.334 0.667
0.334 0.834 0.668
0.666 0.166 0.332
0.666 0.666 0.333
0.000 0.500 0.000

No. 10
Zr2BeHg PBE-GGA optimized geometry; ΔH_f (0 K) = 0.002 eV/atom; SG = P4/mmm; ΔE to the lowest computed polymorph = 10.36 kJ per mole of atoms
1.0
4.331 0.000 0.000
0.000 4.333 0.000
0.000 0.000 4.088
Zr Hg Be
2 1 1
Direct
0.500 0.500 0.000
0.000 0.000 0.000
0.000 0.500 0.500
0.500 0.000 0.500

No. 11
Ac3BiSb PBE-GGA optimized geometry; SG = Pm-3m; formation energy (no corrections) = -105.6 kJ/mol of formula units
1.0
6.214 0.000 0.000
0.000 6.214 0.000
0.000 0.000 6.214
Ac Sb Bi
3 1 1
Direct
0.500 0.000 0.000
0.000 0.500 0.000
0.000 0.000 0.500
0.000 0.000 0.000
0.500 0.500 0.500

No. 12
MgSc2Cu2 PBE-GGA optimized geometry; ΔH_f (0 K) = 0.071 eV/atom; SG = I4/mmm
1.0
3.372 0.000 0.000
0.000 3.372 0.000
1.686 1.686 8.825
Sc Cu Mg
2 2 1
Direct
0.623 0.623 0.755
0.377 0.377 0.245
0.750 0.250 0.500
0.250 0.750 0.500
0.000 0.000 0.000

> Which formula does entry 12 have?

MgSc2Cu2